# PBE LaCd3Si, optimized geometry
data_LaCd3Si
_cell_length_a 6.0254
_cell_length_b 6.0254
_cell_length_c 6.0254
_cell_angle_alpha 90.00
_cell_angle_beta 90.00
_cell_angle_gamma 90.00
_space_group_name_H-M_alt 'P m -3 m'
_space_group_IT_number 221
_space_group_name_Hall '-P 4 2 3'
loop_
_atom_site_label
_atom_site_fract_x
_atom_site_fract_y
_atom_site_fract_z
La1 0.0000 0.0000 0.0000
Cd1 0.0000 0.0000 0.5000
Si1 0.5000 0.5000 0.5000
# E_form (uncorrected) = 6.182 eV per formula unit
# Uncorrected energy = -1.383 eV/atom
# E above lowest polymorph = 1088 meV/atom
# Magnetic moment = 1.65 μB/cell
# Volume = 218.8 Å³/cell